[1]
DFT (PBE) results for a geometry-optimized Co2NiCl structure.

POSCAR file:
```
Co2NiCl
1.0
3.491 0.000 0.000
0.000 3.491 0.000
0.000 0.000 4.187
Co Ni Cl
2 1 1
Direct
0.000 0.500 0.000 Co
0.500 0.000 0.000 Co
0.000 0.000 0.500 Ni
0.500 0.500 0.500 Cl
```

## Properties
The calculation puts the uncorrected formation energy at 2.84 eV per formula unit.


[2]
DFT (PBE) results for a geometry-optimized CoNiCl6 structure.

POSCAR file:
```
CoNiCl6
1.0
5.975 0.000 0.000
0.000 11.252 0.000
-2.413 0.000 5.466
Co Ni Cl
2 2 12
Direct
0.000 0.000 0.000 Co
0.500 0.500 0.000 Co
0.000 0.500 0.500 Ni
0.500 0.000 0.500 Ni
0.225 0.000 0.776 Cl
0.243 0.365 0.743 Cl
0.243 0.635 0.743 Cl
0.257 0.135 0.257 Cl
0.257 0.865 0.257 Cl
0.275 0.500 0.224 Cl
0.725 0.500 0.776 Cl
0.743 0.135 0.743 Cl
0.743 0.865 0.743 Cl
0.757 0.365 0.257 Cl
0.757 0.635 0.257 Cl
0.775 0.000 0.224 Cl
```

## Properties
The calculation puts the uncorrected formation energy at -3.39 eV per formula unit.